First-principles (PBE+U) data for an optimized crystal structure of BaAlCuMoO5, as listed in the Alexandria database.

Cell: 3.8308 3.8308 8.2600 Å, 90.00 90.00 90.00°
Fractional coordinates of all 9 atoms:
Ba 0.0000 0.0000 0.0000
Al 0.0000 0.0000 0.4137
Cu 0.5000 0.5000 0.2539
Mo 0.5000 0.5000 0.6600
O 0.0000 0.5000 0.2707
O 0.0000 0.5000 0.5722
O 0.5000 0.0000 0.2707
O 0.5000 0.0000 0.5722
O 0.5000 0.5000 0.9057

Output
symmetry	P4mm (99)
raw total energy	-0.4562	Ry/atom